Below is a relaxed structure of SnGe, with properties calculated at the PBE level.

- E_tot (eV/cell) = -33.3

a = 5.792 Å, b = 5.792 Å, c = 5.792 Å
α = 90.00°, β = 90.00°, γ = 90.00°
Positions (direct):
Sn1 0.000 0.000 0.000
Sn2 0.000 0.500 0.500
Sn3 0.500 0.000 0.500
Sn4 0.500 0.500 0.000
Ge1 0.000 0.000 0.500
Ge2 0.000 0.500 0.000
Ge3 0.500 0.000 0.000
Ge4 0.500 0.500 0.500